P | This record from Alexandria describes a relaxed structure of LaAl4Pd6. The functional is PBE.

Cell lengths 6.577, 6.577, 6.577 Å; angles 94.78, 117.28, 117.28 degrees
Sites, in units of the cell vectors:
Al: 0.404 0.869 0.869
Al: 0.000 0.131 0.535
Al: 0.000 0.535 0.131
Al: 0.596 0.465 0.465
Pd: 0.000 0.467 0.769
Pd: 0.698 0.231 0.231
Pd: 0.500 0.500 0.000
Pd: 0.500 0.000 0.500
Pd: 0.000 0.769 0.467
Pd: 0.302 0.533 0.533
La: 0.000 0.000 0.000

Calculated values
crystal system	tetragonal



Q | This record from Alexandria describes a relaxed structure of LaAl4Pd6. The functional is PBE.

Cell lengths 3.958, 7.363, 7.363 Å; angles 120.00, 90.00, 90.00 degrees
Sites, in units of the cell vectors:
Al: 0.500 0.797 0.594
Al: 0.500 0.797 0.203
Al: 0.500 0.406 0.203
Al: 0.000 0.333 0.667
Pd: 0.000 0.533 0.467
Pd: 0.000 0.533 0.066
Pd: 0.500 0.600 0.800
Pd: 0.500 0.200 0.400
Pd: 0.500 0.200 0.800
Pd: 0.000 0.934 0.467
La: 0.000 0.000 0.000

Calculated values
crystal system	hexagonal



Ordering by calculated energy gives the sequence Q, P, with the first entry being the most stable.



P | This record from Alexandria describes a relaxed structure of LaAl3Pd. The functional is PBE.

Cell lengths 4.370, 4.370, 6.209 Å; angles 69.47, 69.47, 90.05 degrees
Sites, in units of the cell vectors:
La: 0.388 0.191 0.930
Pd: 0.030 0.833 0.646
Al: 0.146 0.449 0.414
Al: 0.646 0.950 0.414
Al: 0.798 0.602 0.109

Calculated values
crystal system	orthorhombic



Q | This record from Alexandria describes a relaxed structure of LaAl3Pd. The functional is PBE.

Cell lengths 4.800, 4.800, 4.800 Å; angles 90.00, 90.00, 90.00 degrees
Sites, in units of the cell vectors:
Al: 0.000 0.500 0.000
Al: 0.500 0.000 0.000
Al: 0.000 0.000 0.500
Pd: 0.000 0.000 0.000
La: 0.500 0.500 0.500

Calculated values
crystal system	cubic



R | This record from Alexandria describes a relaxed structure of LaAl3Pd. The functional is PBE.

Cell lengths 5.596, 5.596, 5.596 Å; angles 90.00, 90.00, 90.00 degrees
Sites, in units of the cell vectors:
Al: 0.000 0.000 0.500
Al: 0.000 0.500 0.000
Al: 0.500 0.000 0.000
Pd: 0.500 0.500 0.500
La: 0.000 0.000 0.000

Calculated values
crystal system	cubic



Ordering by calculated energy gives the sequence P, Q, R, with the first entry being the most stable.



P | This record from Alexandria describes a relaxed structure of La4PmAl. The functional is PBE.

Cell lengths 3.747, 3.747, 14.204 Å; angles 90.00, 90.00, 90.00 degrees
Sites, in units of the cell vectors:
La: 0.500 0.500 0.181
La: 0.000 0.000 0.634
La: 0.500 0.500 0.819
La: 0.000 0.000 0.366
Al: 0.500 0.500 0.500
Pm: 0.000 0.000 0.000

Calculated values
crystal system	tetragonal



Q | This record from Alexandria describes a relaxed structure of La4PmAl. The functional is PBE.

Cell lengths 6.656, 6.656, 11.229 Å; angles 90.00, 90.00, 117.09 degrees
Sites, in units of the cell vectors:
La: 0.738 0.738 0.989
La: 0.738 0.738 0.511
La: 0.262 0.262 0.011
La: 0.936 0.420 0.750
La: 0.420 0.936 0.750
La: 0.262 0.262 0.489
La: 0.580 0.064 0.250
La: 0.064 0.580 0.250
Al: 0.464 0.464 0.750
Al: 0.536 0.536 0.250
Pm: 0.022 0.022 0.250
Pm: 0.978 0.978 0.750

Calculated values
crystal system	orthorhombic



Ordering by calculated energy gives the sequence P, Q, with the first entry being the most stable.



P | This record from Alexandria describes a relaxed structure of LaPm2Al2. The functional is PBE.

Cell lengths 3.645, 4.559, 8.685 Å; angles 105.21, 90.00, 90.00 degrees
Sites, in units of the cell vectors:
Pm: 0.500 0.632 0.265
Pm: 0.500 0.368 0.735
La: 0.000 0.000 0.000
Al: 0.000 0.795 0.589
Al: 0.000 0.205 0.411

Calculated values
crystal system	orthorhombic



Q | This record from Alexandria describes a relaxed structure of LaPm2Al2. The functional is PBE.

Cell lengths 3.807, 5.786, 13.541 Å; angles 96.05, 90.00, 90.00 degrees
Sites, in units of the cell vectors:
Pm: 0.250 0.855 0.889
Pm: 0.750 0.145 0.111
Pm: 0.250 0.260 0.539
Pm: 0.750 0.740 0.461
La: 0.750 0.323 0.767
La: 0.250 0.677 0.233
Al: 0.750 0.212 0.343
Al: 0.250 0.788 0.657
Al: 0.250 0.361 0.964
Al: 0.750 0.639 0.036

Calculated values
crystal system	monoclinic



Ordering by calculated energy gives the sequence P, Q, with the first entry being the most stable.



P | This record from Alexandria describes a relaxed structure of LaPmAl. The functional is PBE.

Cell lengths 3.552, 3.552, 7.520 Å; angles 103.66, 103.66, 90.00 degrees
Sites, in units of the cell vectors:
Pm: 0.309 0.309 0.619
La: 0.021 0.021 0.042
Al: 0.670 0.670 0.340

Calculated values
crystal system	tetragonal



Q | This record from Alexandria describes a relaxed structure of LaPmAl. The functional is PBE.

Cell lengths 4.796, 4.796, 8.129 Å; angles 89.89, 90.11, 90.00 degrees
Sites, in units of the cell vectors:
Pm: 0.250 0.250 0.000
Pm: 0.750 0.750 0.000
La: 0.249 0.751 0.647
La: 0.751 0.249 0.353
Al: 0.251 0.749 0.258
Al: 0.749 0.251 0.742

Calculated values
crystal system	monoclinic



Ordering by calculated energy gives the sequence P, Q, with the first entry being the most stable.



P | This record from Alexandria describes a relaxed structure of LaPmAl. The functional is PBE.

Cell lengths 5.976, 5.976, 5.917 Å; angles 90.00, 90.00, 125.86 degrees
Sites, in units of the cell vectors:
La: 0.771 0.229 0.250
La: 0.229 0.771 0.750
Al: 0.908 0.092 0.750
Al: 0.092 0.908 0.250
Pm: 0.442 0.558 0.250
Pm: 0.558 0.442 0.750

Calculated values
crystal system	orthorhombic



Q | This record from Alexandria describes a relaxed structure of LaPmAl. The functional is PBE.

Cell lengths 5.218, 5.218, 5.218 Å; angles 60.00, 60.00, 60.00 degrees
Sites, in units of the cell vectors:
La: 0.500 0.500 0.500
Al: 0.250 0.250 0.250
Pm: 0.000 0.000 0.000

Calculated values
crystal system	cubic



R | This record from Alexandria describes a relaxed structure of LaPmAl. The functional is PBE.

Cell lengths 3.743, 5.148, 5.148 Å; angles 120.00, 90.00, 90.00 degrees
Sites, in units of the cell vectors:
Pm: 0.372 0.333 0.667
La: 0.985 0.000 0.000
Al: 0.644 0.667 0.333

Calculated values
crystal system	trigonal



Ordering by calculated energy gives the sequence R, P, Q, with the first entry being the most stable.



P | This record from Alexandria describes a relaxed structure of La2Pm2Al. The functional is PBE.

Cell lengths 3.701, 3.701, 11.918 Å; angles 98.93, 98.93, 90.00 degrees
Sites, in units of the cell vectors:
Pm: 0.420 0.420 0.841
Pm: 0.580 0.580 0.159
La: 0.807 0.807 0.615
La: 0.193 0.193 0.385
Al: 0.000 0.000 0.000

Calculated values
crystal system	tetragonal



Q | This record from Alexandria describes a relaxed structure of La2Pm2Al. The functional is PBE.

Cell lengths 8.721, 6.426, 9.203 Å; angles 68.09, 56.64, 47.27 degrees
Sites, in units of the cell vectors:
Pm: 0.954 0.380 0.271
Pm: 0.046 0.620 0.729
Pm: 0.334 0.620 0.271
Pm: 0.666 0.380 0.729
La: 0.602 0.000 0.117
La: 0.398 0.000 0.883
La: 0.252 0.000 0.591
La: 0.748 0.000 0.409
Al: 0.849 0.302 0.000
Al: 0.151 0.698 0.000

Calculated values
crystal system	monoclinic



Ordering by calculated energy gives the sequence P, Q, with the first entry being the most stable.



P | This record from Alexandria describes a relaxed structure of La6PmAl2. The functional is PBE.

Cell lengths 8.080, 8.080, 10.924 Å; angles 90.00, 90.00, 90.00 degrees
Sites, in units of the cell vectors:
La: 0.241 0.759 0.822
La: 0.807 0.193 0.500
La: 0.193 0.807 0.500
La: 0.693 0.693 0.000
La: 0.241 0.759 0.178
La: 0.741 0.741 0.322
La: 0.759 0.241 0.822
La: 0.741 0.741 0.678
La: 0.307 0.307 0.000
La: 0.259 0.259 0.322
La: 0.759 0.241 0.178
La: 0.259 0.259 0.678
Al: 0.500 0.500 0.202
Al: 0.000 0.000 0.298
Al: 0.500 0.500 0.798
Al: 0.000 0.000 0.702
Pm: 0.500 0.500 0.500
Pm: 0.000 0.000 0.000

Calculated values
crystal system	tetragonal



Q | This record from Alexandria describes a relaxed structure of La6PmAl2. The functional is PBE.

Cell lengths 3.860, 6.937, 11.911 Å; angles 73.25, 80.67, 73.85 degrees
Sites, in units of the cell vectors:
La: 0.308 0.786 0.597
La: 0.970 0.732 0.328
La: 0.320 0.483 0.877
La: 0.692 0.214 0.403
La: 0.680 0.517 0.123
La: 0.030 0.268 0.672
Al: 0.652 0.888 0.809
Al: 0.348 0.112 0.191
Pm: 0.000 0.000 0.000

Calculated values
crystal system	monoclinic



Ordering by calculated energy gives the sequence Q, P, with the first entry being the most stable.



P | This record from Alexandria describes a relaxed structure of La2Pm4Al. The functional is PBE.

Cell lengths 8.047, 8.047, 6.668 Å; angles 127.11, 127.11, 90.00 degrees
Sites, in units of the cell vectors:
Pm: 0.902 0.308 0.209
Pm: 0.308 0.902 0.209
Pm: 0.692 0.692 0.791
Pm: 0.098 0.098 0.791
Al: 0.500 0.500 0.000
La: 0.250 0.750 0.500
La: 0.750 0.250 0.500

Calculated values
crystal system	tetragonal



Q | This record from Alexandria describes a relaxed structure of La2Pm4Al. The functional is PBE.

Cell lengths 3.463, 7.401, 9.178 Å; angles 90.00, 90.00, 90.00 degrees
Sites, in units of the cell vectors:
Pm: 0.516 0.733 0.184
Pm: 0.484 0.733 0.816
Pm: 0.484 0.267 0.184
Pm: 0.516 0.267 0.816
Al: 0.000 0.000 0.000
La: 0.500 0.000 0.500
La: 0.000 0.500 0.500

Calculated values
crystal system	orthorhombic



Ordering by calculated energy gives the sequence Q, P, with the first entry being the most stable.



P | This record from Alexandria describes a relaxed structure of LaPmPrAl. The functional is PBE.

Cell lengths 5.557, 5.557, 5.557 Å; angles 60.00, 60.00, 60.00 degrees
Sites, in units of the cell vectors:
La: 0.500 0.500 0.500
Pr: 0.000 0.000 0.000
Pm: 0.250 0.250 0.250
Al: 0.750 0.750 0.750

Calculated values
crystal system	cubic



Q | This record from Alexandria describes a relaxed structure of LaPmPrAl. The functional is PBE.

Cell lengths 4.852, 4.852, 6.111 Å; angles 113.39, 113.39, 90.00 degrees
Sites, in units of the cell vectors:
Al: 0.250 0.750 0.500
Pm: 0.000 0.000 0.000
Pr: 0.500 0.500 0.000
La: 0.750 0.250 0.500

Calculated values
crystal system	tetragonal



Ordering by calculated energy gives the sequence Q, P, with the first entry being the most stable.



P | This record from Alexandria describes a relaxed structure of LaPmAlSi. The functional is PBE.

Cell lengths 4.497, 4.095, 6.145 Å; angles 90.00, 111.47, 90.00 degrees
Sites, in units of the cell vectors:
La: 0.146 0.000 0.292
Al: 0.564 0.500 0.129
Si: 0.429 0.000 0.858
Pm: 0.861 0.500 0.721

Calculated values
crystal system	orthorhombic



Q | This record from Alexandria describes a relaxed structure of LaPmAlSi. The functional is PBE.

Cell lengths 5.242, 5.242, 5.242 Å; angles 60.00, 60.00, 60.00 degrees
Sites, in units of the cell vectors:
Al: 0.250 0.250 0.250
Si: 0.750 0.750 0.750
La: 0.000 0.000 0.000
Pm: 0.500 0.500 0.500

Calculated values
crystal system	cubic



Ordering by calculated energy gives the sequence P, Q, with the first entry being the most stable.



P | This record from Alexandria describes a relaxed structure of LaPmAlTl. The functional is PBE.

Cell lengths 5.451, 5.451, 5.451 Å; angles 60.00, 60.00, 60.00 degrees
Sites, in units of the cell vectors:
Al: 0.500 0.500 0.500
Tl: 0.000 0.000 0.000
Pm: 0.250 0.250 0.250
La: 0.750 0.750 0.750

Calculated values
crystal system	cubic



Q | This record from Alexandria describes a relaxed structure of LaPmAlTl. The functional is PBE.

Cell lengths 3.799, 3.799, 7.881 Å; angles 90.00, 90.00, 90.00 degrees
Sites, in units of the cell vectors:
Pm: 0.500 0.500 0.594
Al: 0.000 0.000 0.367
La: 0.500 0.500 0.122
Tl: 0.000 0.000 0.846

Calculated values
crystal system	tetragonal



Ordering by calculated energy gives the sequence Q, P, with the first entry being the most stable.